[1]
DFT (PBE) results for Hf3ZrSb after structural relaxation.

Lattice parameters (Å, degrees): 7.9621 8.2634 8.7769 127.05 90.00 90.00
Fractional positions:
Hf (0.5971, 0.8852, 0.1619)
Hf (0.4029, 0.1148, 0.8381)
Hf (0.0971, 0.1148, 0.3381)
Hf (0.9240, 0.7161, 0.8909)
Hf (0.6840, 0.4307, 0.9553)
Hf (0.8160, 0.4307, 0.4553)
Hf (0.5760, 0.7161, 0.3909)
Hf (0.3160, 0.5693, 0.0447)
Hf (0.1840, 0.5693, 0.5447)
Hf (0.4240, 0.2839, 0.6091)
Hf (0.0760, 0.2839, 0.1091)
Hf (0.9029, 0.8852, 0.6619)
Sb (0.2663, 0.8916, 0.9755)
Sb (0.7663, 0.1084, 0.5245)
Sb (0.7337, 0.1084, 0.0245)
Sb (0.2337, 0.8916, 0.4755)
Zr (0.0594, 0.3115, 0.7794)
Zr (0.9406, 0.6885, 0.2206)
Zr (0.4406, 0.3115, 0.2794)
Zr (0.5594, 0.6885, 0.7206)

Calculated values
* energy relative to the elements, uncorrected: -0.14 eV/atom
* VASP energy: -172.85 eV for the cell shown
* space group: P2_1/c (14)
* magnetic moment: 0.0 Bohr magnetons per cell


[2]
DFT (PBE) results for Tm2Ga2Pd5Au after structural relaxation.

Lattice parameters (Å, degrees): 3.7834 9.6902 9.6902 90.00 90.00 90.00
Fractional positions:
Pd (0.5000, 0.2064, 0.0670)
Pd (0.5000, 0.5000, 0.0000)
Pd (0.5000, 0.5670, 0.7064)
Pd (0.5000, 0.0000, 0.5000)
Pd (0.5000, 0.0670, 0.7936)
Pd (0.5000, 0.2936, 0.5670)
Pd (0.5000, 0.7064, 0.4330)
Pd (0.5000, 0.7936, 0.9330)
Pd (0.5000, 0.9330, 0.2064)
Pd (0.5000, 0.4330, 0.2936)
Ga (0.0000, 0.3788, 0.1212)
Ga (0.0000, 0.1212, 0.6212)
Ga (0.0000, 0.6212, 0.8788)
Ga (0.0000, 0.8788, 0.3788)
Tm (0.0000, 0.8224, 0.6776)
Tm (0.0000, 0.1776, 0.3224)
Tm (0.0000, 0.6776, 0.1776)
Tm (0.0000, 0.3224, 0.8224)
Au (0.0000, 0.5000, 0.5000)
Au (0.0000, 0.0000, 0.0000)

Calculated values
* VASP energy: -102.70 eV for the cell shown
* calculated formation energy: -68.6 kJ per mole of atoms
* space group: P4/mbm (127)
* magnetic moment: 0.0 Bohr magnetons per cell


[3]
DFT (PBE) results for YFeCl2 after structural relaxation.

Lattice parameters (Å, degrees): 4.5187 4.5187 9.2128 75.80 75.80 90.00
Fractional positions:
Fe (0.5000, 0.5000, 0.0000)
Fe (0.2500, 0.7500, 0.5000)
Cl (0.8750, 0.8624, 0.7500)
Cl (0.6124, 0.1250, 0.2500)
Cl (0.3750, 0.3876, 0.7500)
Cl (0.1376, 0.6250, 0.2500)
Y (0.0000, 0.0000, 0.0000)
Y (0.7500, 0.2500, 0.5000)

Calculated values
* energy relative to the elements, uncorrected: -0.55 eV/atom
* VASP energy: -41.64 eV for the cell shown
* space group: I-42d (122)
* magnetic moment: 5.3 Bohr magnetons per cell


[4]
DFT (PBE) results for In4H3Cl4 after structural relaxation.

Lattice parameters (Å, degrees): 3.8487 6.1758 15.3852 52.40 90.22 108.62
Fractional positions:
H (0.3374, 0.6714, 0.2208)
H (0.3472, 0.6950, 0.0304)
H (0.3634, 0.7348, 0.7324)
Cl (0.6021, 0.1978, 0.4609)
Cl (0.0315, 0.0463, 0.2779)
Cl (0.6459, 0.3060, 0.9778)
Cl (0.0615, 0.1219, 0.7859)
In (0.8384, 0.6725, 0.2395)
In (0.8662, 0.7318, 0.5161)
In (0.8550, 0.7183, 0.7485)
In (0.8499, 0.7012, 0.0099)

Calculated values
* VASP energy: -33.13 eV for the cell shown
* space group: P1 (1)
* magnetic moment: 0.0 Bohr magnetons per cell


[5]
DFT (PBE) results for Pm5Pb2Au2 after structural relaxation.

Lattice parameters (Å, degrees): 8.4692 7.3603 10.4604 110.60 113.88 90.00
Fractional positions:
Pm (0.3814, 0.9891, 0.3004)
Pm (0.1698, 0.8131, 0.5000)
Pm (0.6186, 0.6887, 0.6996)
Pm (0.4190, 0.4891, 0.3004)
Pm (0.7700, 0.8150, 0.1575)
Pm (0.5810, 0.1887, 0.6996)
Pm (0.1125, 0.1575, 0.8425)
Pm (0.2300, 0.6575, 0.8425)
Pm (0.8302, 0.3131, 0.5000)
Pm (0.8875, 0.3150, 0.1575)
Au (0.5564, 0.1339, 0.1571)
Au (0.4436, 0.9768, 0.8429)
Au (0.8993, 0.4768, 0.8429)
Au (0.1007, 0.6339, 0.1571)
Pb (0.7855, 0.8347, 0.5000)
Pb (0.0000, 0.9271, 0.0000)
Pb (0.5000, 0.4271, 0.0000)
Pb (0.2145, 0.3347, 0.5000)

Calculated values
* VASP energy: -84.06 eV for the cell shown
* calculated formation energy: -46.2 kJ per mole of atoms
* space group: Ima2 (46)
* magnetic moment: 0.0 Bohr magnetons per cell


[6]
DFT (PBE) results for Pu3SiGe2 after structural relaxation.

Lattice parameters (Å, degrees): 4.0419 11.0757 11.9871 90.00 90.00 90.00
Fractional positions:
Pu (0.7500, 0.2523, 0.7706)
Pu (0.2500, 0.4500, 0.3886)
Pu (0.7500, 0.5500, 0.6114)
Pu (0.2500, 0.7523, 0.7294)
Pu (0.7500, 0.9500, 0.1114)
Pu (0.7500, 0.5943, 0.9445)
Pu (0.2500, 0.4057, 0.0555)
Pu (0.2500, 0.7477, 0.2294)
Pu (0.2500, 0.0943, 0.5555)
Pu (0.7500, 0.9057, 0.4445)
Pu (0.2500, 0.0500, 0.8886)
Pu (0.7500, 0.2477, 0.2706)
Ge (0.2500, 0.7122, 0.4889)
Ge (0.2500, 0.7878, 0.9889)
Ge (0.7500, 0.2878, 0.5111)
Ge (0.2500, 0.0275, 0.2982)
Ge (0.2500, 0.4725, 0.7982)
Ge (0.7500, 0.9725, 0.7018)
Ge (0.7500, 0.5275, 0.2018)
Ge (0.7500, 0.2122, 0.0111)
Si (0.2500, 0.3544, 0.6228)
Si (0.2500, 0.1456, 0.1228)
Si (0.7500, 0.6456, 0.3772)
Si (0.7500, 0.8544, 0.8772)

Calculated values
* energy relative to the elements, uncorrected: -0.32 eV/atom
* VASP energy: -238.35 eV for the cell shown
* space group: Pnma (62)
* magnetic moment: 22.6 Bohr magnetons per cell


[7]
DFT (PBE) results for MgPaCdIr after structural relaxation.

Lattice parameters (Å, degrees): 4.8956 4.8956 4.8956 60.00 60.00 60.00
Fractional positions:
Cd (0.0000, 0.0000, 0.0000)
Pa (0.7500, 0.7500, 0.7500)
Mg (0.2500, 0.2500, 0.2500)
Ir (0.5000, 0.5000, 0.5000)

Calculated values
* VASP energy: -21.59 eV for the cell shown
* calculated formation energy: -17.4 kJ per mole of atoms
* space group: F-43m (216)
* magnetic moment: 0.0 Bohr magnetons per cell


[8]
DFT (PBE) results for In2Ag2I after structural relaxation.

Lattice parameters (Å, degrees): 4.5068 4.5068 7.4366 72.36 72.36 90.00
Fractional positions:
I (0.0000, 0.0000, 0.0000)
In (0.6095, 0.6095, 0.7810)
In (0.3905, 0.3905, 0.2190)
Ag (0.2500, 0.7500, 0.5000)
Ag (0.7500, 0.2500, 0.5000)

Calculated values
* energy relative to the elements, uncorrected: 0.07 eV/atom
* VASP energy: -12.37 eV for the cell shown
* space group: I4/mmm (139)
* magnetic moment: 0.0 Bohr magnetons per cell


> What is the formula in the eighth record?

In2Ag2I


> Among the records above, which one has the lowest VASP energy?

Pu3SiGe2


Copy entry 8 word for word.
DFT (PBE) results for In2Ag2I after structural relaxation.

Lattice parameters (Å, degrees): 4.5068 4.5068 7.4366 72.36 72.36 90.00
Fractional positions:
I (0.0000, 0.0000, 0.0000)
In (0.6095, 0.6095, 0.7810)
In (0.3905, 0.3905, 0.2190)
Ag (0.2500, 0.7500, 0.5000)
Ag (0.7500, 0.2500, 0.5000)

Calculated values
* energy relative to the elements, uncorrected: 0.07 eV/atom
* VASP energy: -12.37 eV for the cell shown
* space group: I4/mmm (139)
* magnetic moment: 0.0 Bohr magnetons per cell